# PBE CsGaH2, optimized geometry
# - Raw total energy: -45.80 eV per cell
# - Total magnetic moment: 0.00 Bohr magnetons per cell
# - E above lowest polymorph: 0.00 eV per formula unit
data_CsGaH2
_space_group_name_H-M_alt 'I m m a'
_space_group_IT_number 74
_space_group_name_Hall '-I 2b 2'
_cell_length_a 4.518
_cell_length_b 6.488
_cell_length_c 11.696
_cell_angle_alpha 90.00
_cell_angle_beta 90.00
_cell_angle_gamma 90.00
loop_
_atom_site_label
_atom_site_fract_x
_atom_site_fract_y
_atom_site_fract_z
_atom_site_occupancy
Cs1 0.000 0.250 0.085 1
Ga1 0.000 0.250 0.701 1
H1 0.000 0.057 0.608 1